Record 1
A relaxed Cu2SbIr crystal, computed with PBE.

Summary:
V: 134 Å³/cell
M_tot: 0.00 μB per cell
formation energy (no corrections): 0.386 eV/atom

```
Cu2SbIr
1.0
7.230 0.000 0.000
0.000 7.230 0.000
3.615 3.615 2.556
Cu Ir Sb
4 2 2
direct
0.375 0.365 0.750 Cu
0.115 0.625 0.250 Cu
0.635 0.125 0.250 Cu
0.875 0.885 0.750 Cu
0.750 0.250 0.500 Ir
0.000 0.000 0.000 Ir
0.250 0.750 0.500 Sb
0.500 0.500 0.000 Sb
```

---

Record 2
A relaxed Cu2SbIr crystal, computed with PBE.

Summary:
V: 64 Å³/cell
M_tot: 0.48 μB per cell
formation energy (no corrections): 0.446 eV/atom

```
Cu2SbIr
1.0
-5.676 4.934 -3.977
-7.494 2.851 -2.845
-6.653 5.173 -1.164
Cu Sb Ir
2 1 1
direct
0.996 0.996 0.996 Cu
0.504 0.504 0.504 Cu
0.750 0.750 0.750 Sb
0.250 0.250 0.250 Ir
```

---

Record 3
A relaxed Cu2SbIr crystal, computed with PBE.

Summary:
V: 62 Å³/cell
M_tot: 0.00 μB per cell
formation energy (no corrections): 0.192 eV/atom

```
Cu2SbIr
1.0
4.518 0.045 0.000
-1.483 4.267 0.000
0.000 0.000 3.182
Ir Cu Sb
1 2 1
direct
0.500 0.000 0.500 Ir
0.000 0.000 0.000 Cu
0.500 0.500 0.000 Cu
0.000 0.500 0.500 Sb
```

---

Record 4
A relaxed CuSbIr4 crystal, computed with PBE.

Summary:
V: 102 Å³/cell
M_tot: 0.00 μB per cell
formation energy (no corrections): 0.486 eV/atom

```
CuSbIr4
1.0
-1.330 -1.957 4.686
-4.687 -2.269 0.663
-0.328 -5.195 0.678
Ir Sb Cu
4 1 1
direct
0.375 0.375 0.876 Ir
0.375 0.876 0.375 Ir
0.876 0.375 0.375 Ir
0.375 0.375 0.375 Ir
0.750 0.750 0.750 Sb
0.000 0.000 0.000 Cu
```

---

Record 5
A relaxed CuSbIr crystal, computed with PBE.

Summary:
V: 49 Å³/cell
M_tot: 0.00 μB per cell
formation energy (no corrections): 0.065 eV/atom

```
CuSbIr
1.0
-2.121 -1.568 -3.963
2.711 -1.950 -3.393
-0.589 -0.436 4.704
Ir Sb Cu
1 1 1
direct
0.333 0.333 0.000 Ir
0.671 0.671 0.000 Sb
0.996 0.996 0.000 Cu
```

---

Record 6
A relaxed CuSbIr crystal, computed with PBE.

Summary:
V: 220 Å³/cell
M_tot: 0.00 μB per cell
formation energy (no corrections): 0.002 eV/atom

```
CuSbIr
1.0
-3.033 2.492 -1.186
-1.867 -4.204 -4.059
-5.262 -3.517 6.063
Cu Ir Sb
4 4 4
direct
0.250 0.780 0.880 Cu
0.750 0.280 0.620 Cu
0.750 0.220 0.120 Cu
0.250 0.720 0.380 Cu
0.750 0.021 0.386 Ir
0.750 0.479 0.886 Ir
0.250 0.979 0.614 Ir
0.250 0.521 0.114 Ir
0.750 0.783 0.133 Sb
0.750 0.717 0.633 Sb
0.250 0.283 0.367 Sb
0.250 0.217 0.867 Sb
```